Density functional theory data (PBE) for crystalline TlCoCu2 at its relaxed geometry.

extended XYZ file:
```
4
Lattice="4.5480 0.0562 -0.0451 3.5454 2.8491 -0.0451 1.0632 0.3817 4.6645" Properties=species:S:1:pos:R:3 pbc="T T T"
Cu 6.8425 2.4563 3.6247
Co 2.3251 0.8346 0.9975
Tl 4.5914 1.6482 2.2483
Cu 9.1324 3.2783 4.5652
```

Excess energy over the best structure of this formula in the dataset = 0.086 eV per atom
Spin magnetization = 1.199 μB per formula unit
E_form = 165 kJ/mol of formula units
Crystal system = monoclinic
VASP energy = -3.990 eV/atom